No. 1
# PBE-GGA LaCe4Te6, optimized geometry
# - Electronic total energy: -62.94 eV/f.u.
# - Symmetry: Cmcm
# - Formation energy (no corrections): -1402 meV/atom
data_LaCe4Te6
_chemical_formula_sum 'La2 Ce8 Te12'
_cell_length_a 7.6877
_cell_length_b 7.6877
_cell_length_c 22.8409
_cell_angle_alpha 90.00
_cell_angle_beta 90.00
_cell_angle_gamma 146.51
_symmetry_space_group_name_H-M 'P 1'
_symmetry_Int_Tables_number 1
_symmetry_space_group_name_Hall 'P 1'
loop_
_atom_site_label
_atom_site_type_symbol
_atom_site_fract_x
_atom_site_fract_y
_atom_site_fract_z
_atom_site_occupancy
La1 La 0.1608 0.8392 0.7500 1
La2 La 0.8392 0.1608 0.2500 1
Ce1 Ce 0.0863 0.9137 0.1255 1
Ce2 Ce 0.0863 0.9137 0.3745 1
Ce3 Ce 0.3575 0.6425 0.0371 1
Ce4 Ce 0.3575 0.6425 0.4629 1
Ce5 Ce 0.6425 0.3575 0.5371 1
Ce6 Ce 0.6425 0.3575 0.9629 1
Ce7 Ce 0.9137 0.0863 0.6255 1
Ce8 Ce 0.9137 0.0863 0.8745 1
Te1 Te 0.0000 0.0000 0.0000 1
Te2 Te 0.0000 0.0000 0.5000 1
Te3 Te 0.1803 0.8197 0.2500 1
Te4 Te 0.2687 0.7313 0.5934 1
Te5 Te 0.2687 0.7313 0.9066 1
Te6 Te 0.4452 0.5548 0.1668 1
Te7 Te 0.4452 0.5548 0.3332 1
Te8 Te 0.5548 0.4452 0.6668 1
Te9 Te 0.5548 0.4452 0.8332 1
Te10 Te 0.7313 0.2687 0.0934 1
Te11 Te 0.7313 0.2687 0.4066 1
Te12 Te 0.8197 0.1803 0.7500 1

No. 2
# PBE-GGA La2Ce2Te5, optimized geometry
# - Electronic total energy: -50.41 eV/f.u.
# - Symmetry: Cmce
# - Formation energy (no corrections): -1442 meV/atom
data_La2Ce2Te5
_chemical_formula_sum 'La4 Ce4 Te10'
_cell_length_a 9.1168
_cell_length_b 9.1168
_cell_length_c 8.5477
_cell_angle_alpha 90.00
_cell_angle_beta 90.00
_cell_angle_gamma 55.81
_symmetry_space_group_name_H-M 'P 1'
_symmetry_Int_Tables_number 1
_symmetry_space_group_name_Hall 'P 1'
loop_
_atom_site_label
_atom_site_type_symbol
_atom_site_fract_x
_atom_site_fract_y
_atom_site_fract_z
_atom_site_occupancy
La1 La 0.1491 0.8509 0.8474 1
La2 La 0.3509 0.6491 0.3474 1
La3 La 0.6491 0.3509 0.6526 1
La4 La 0.8509 0.1491 0.1526 1
Ce1 Ce 0.1958 0.1958 0.5000 1
Ce2 Ce 0.3042 0.3042 0.0000 1
Ce3 Ce 0.6958 0.6958 0.0000 1
Ce4 Ce 0.8042 0.8042 0.5000 1
Te1 Te 0.0000 0.0000 0.5000 1
Te2 Te 0.0182 0.7002 0.1544 1
Te3 Te 0.2002 0.5182 0.6544 1
Te4 Te 0.2998 0.9818 0.1544 1
Te5 Te 0.4818 0.7998 0.6544 1
Te6 Te 0.5000 0.5000 0.0000 1
Te7 Te 0.5182 0.2002 0.3456 1
Te8 Te 0.7002 0.0182 0.8456 1
Te9 Te 0.7998 0.4818 0.3456 1
Te10 Te 0.9818 0.2998 0.8456 1

No. 3
# PBE-GGA LaCeTe6, optimized geometry
# - Electronic total energy: -37.97 eV/f.u.
# - Symmetry: Amm2
# - Formation energy (no corrections): -1033 meV/atom
data_LaCeTe6
_chemical_formula_sum 'La1 Ce1 Te6'
_cell_length_a 4.4315
_cell_length_b 13.7250
_cell_length_c 13.7250
_cell_angle_alpha 18.58
_cell_angle_beta 90.00
_cell_angle_gamma 90.00
_symmetry_space_group_name_H-M 'P 1'
_symmetry_Int_Tables_number 1
_symmetry_space_group_name_Hall 'P 1'
loop_
_atom_site_label
_atom_site_type_symbol
_atom_site_fract_x
_atom_site_fract_y
_atom_site_fract_z
_atom_site_occupancy
La1 La 0.0000 0.0000 0.0000 1
Ce1 Ce 0.5000 0.6576 0.6576 1
Te1 Te 0.0000 0.1248 0.1248 1
Te2 Te 0.0000 0.4050 0.4050 1
Te3 Te 0.0000 0.7482 0.7482 1
Te4 Te 0.5000 0.2482 0.2482 1
Te5 Te 0.5000 0.5365 0.5365 1
Te6 Te 0.5000 0.9049 0.9049 1

No. 4
# PBE-GGA La4CeTe5, optimized geometry
# - Electronic total energy: -56.84 eV/f.u.
# - Symmetry: I4/m
# - Formation energy (no corrections): -1549 meV/atom
data_La4CeTe5
_chemical_formula_sum 'La4 Ce1 Te5'
_cell_length_a 7.9097
_cell_length_b 7.9097
_cell_length_c 7.9097
_cell_angle_alpha 99.61
_cell_angle_beta 99.61
_cell_angle_gamma 131.76
_symmetry_space_group_name_H-M 'P 1'
_symmetry_Int_Tables_number 1
_symmetry_space_group_name_Hall 'P 1'
loop_
_atom_site_label
_atom_site_type_symbol
_atom_site_fract_x
_atom_site_fract_y
_atom_site_fract_z
_atom_site_occupancy
La1 La 0.0975 0.6991 0.7966 1
La2 La 0.3009 0.0975 0.3985 1
La3 La 0.6991 0.9025 0.6015 1
La4 La 0.9025 0.3009 0.2034 1
Ce1 Ce 0.5000 0.5000 0.0000 1
Te1 Te 0.0000 0.0000 0.0000 1
Te2 Te 0.2038 0.4001 0.6039 1
Te3 Te 0.4001 0.7962 0.1962 1
Te4 Te 0.5999 0.2038 0.8038 1
Te5 Te 0.7962 0.5999 0.3961 1

No. 5
# PBE-GGA La4CeTe7, optimized geometry
# - Electronic total energy: -65.98 eV/f.u.
# - Symmetry: Cm
# - Formation energy (no corrections): -1529 meV/atom
data_La4CeTe7
_chemical_formula_sum 'La4 Ce1 Te7'
_cell_length_a 7.8380
_cell_length_b 7.8380
_cell_length_c 13.6099
_cell_angle_alpha 104.24
_cell_angle_beta 104.24
_cell_angle_gamma 32.98
_symmetry_space_group_name_H-M 'P 1'
_symmetry_Int_Tables_number 1
_symmetry_space_group_name_Hall 'P 1'
loop_
_atom_site_label
_atom_site_type_symbol
_atom_site_fract_x
_atom_site_fract_y
_atom_site_fract_z
_atom_site_occupancy
La1 La 0.0000 0.0000 0.0000 1
La2 La 0.1858 0.1858 0.7654 1
La3 La 0.5835 0.5835 0.3845 1
La4 La 0.8844 0.8844 0.5740 1
Ce1 Ce 0.7684 0.7684 0.1504 1
Te1 Te 0.1468 0.1468 0.2267 1
Te2 Te 0.2233 0.2233 0.5254 1
Te3 Te 0.3819 0.3819 0.0745 1
Te4 Te 0.5455 0.5455 0.6241 1
Te5 Te 0.6246 0.6246 0.9240 1
Te6 Te 0.8455 0.8455 0.7912 1
Te7 Te 0.9229 0.9229 0.3563 1

No. 6
# PBE-GGA La4CeTe5, optimized geometry
# - Electronic total energy: -56.82 eV/f.u.
# - Symmetry: I4/mmm
# - Formation energy (no corrections): -1547 meV/atom
data_La4CeTe5
_chemical_formula_sum 'La4 Ce1 Te5'
_cell_length_a 16.4762
_cell_length_b 16.4762
_cell_length_c 16.4762
_cell_angle_alpha 164.07
_cell_angle_beta 164.07
_cell_angle_gamma 22.60
_symmetry_space_group_name_H-M 'P 1'
_symmetry_Int_Tables_number 1
_symmetry_space_group_name_Hall 'P 1'
loop_
_atom_site_label
_atom_site_type_symbol
_atom_site_fract_x
_atom_site_fract_y
_atom_site_fract_z
_atom_site_occupancy
La1 La 0.1000 0.1000 0.0000 1
La2 La 0.3014 0.3014 0.0000 1
La3 La 0.6986 0.6986 0.0000 1
La4 La 0.9000 0.9000 0.0000 1
Ce1 Ce 0.5000 0.5000 0.0000 1
Te1 Te 0.0000 0.0000 0.0000 1
Te2 Te 0.2006 0.2006 0.0000 1
Te3 Te 0.4014 0.4014 0.0000 1
Te4 Te 0.5986 0.5986 0.0000 1
Te5 Te 0.7994 0.7994 0.0000 1

No. 7
# PBE-GGA LaCe2Te4, optimized geometry
# - Relative energy among the computed polymorphs: 55 meV/atom
# - Electronic total energy: -39.23 eV/f.u.
# - Symmetry: Cmcm
# - Formation energy (no corrections): -1410 meV/atom
data_LaCe2Te4
_chemical_formula_sum 'La2 Ce4 Te8'
_cell_length_a 7.7428
_cell_length_b 7.7428
_cell_length_c 15.3359
_cell_angle_alpha 90.00
_cell_angle_beta 90.00
_cell_angle_gamma 146.89
_symmetry_space_group_name_H-M 'P 1'
_symmetry_Int_Tables_number 1
_symmetry_space_group_name_Hall 'P 1'
loop_
_atom_site_label
_atom_site_type_symbol
_atom_site_fract_x
_atom_site_fract_y
_atom_site_fract_z
_atom_site_occupancy
La1 La 0.1188 0.8812 0.7500 1
La2 La 0.8812 0.1188 0.2500 1
Ce1 Ce 0.3651 0.6349 0.5659 1
Ce2 Ce 0.3651 0.6349 0.9341 1
Ce3 Ce 0.6349 0.3651 0.0659 1
Ce4 Ce 0.6349 0.3651 0.4341 1
Te1 Te 0.0000 0.0000 0.0000 1
Te2 Te 0.0000 0.0000 0.5000 1
Te3 Te 0.2772 0.7228 0.1256 1
Te4 Te 0.2772 0.7228 0.3744 1
Te5 Te 0.4601 0.5399 0.7500 1
Te6 Te 0.5399 0.4601 0.2500 1
Te7 Te 0.7228 0.2772 0.6256 1
Te8 Te 0.7228 0.2772 0.8744 1

No. 8
# PBE-GGA La4Ce3ThTe8, optimized geometry
# - Electronic total energy: -93.00 eV/f.u.
# - Symmetry: C2/m
# - Formation energy (no corrections): -1434 meV/atom
data_La4Ce3ThTe8
_chemical_formula_sum 'La4 Ce3 Th1 Te8'
_cell_length_a 9.0502
_cell_length_b 9.0502
_cell_length_c 9.0986
_cell_angle_alpha 119.96
_cell_angle_beta 119.96
_cell_angle_gamma 59.88
_symmetry_space_group_name_H-M 'P 1'
_symmetry_Int_Tables_number 1
_symmetry_space_group_name_Hall 'P 1'
loop_
_atom_site_label
_atom_site_type_symbol
_atom_site_fract_x
_atom_site_fract_y
_atom_site_fract_z
_atom_site_occupancy
La1 La 0.0000 0.0000 0.0000 1
La2 La 0.0000 0.5000 0.0000 1
La3 La 0.5000 0.0000 0.0000 1
La4 La 0.5000 0.5000 0.0000 1
Ce1 Ce 0.0000 0.0000 0.5000 1
Ce2 Ce 0.0000 0.5000 0.5000 1
Ce3 Ce 0.5000 0.0000 0.5000 1
Th1 Th 0.5000 0.5000 0.5000 1
Te1 Te 0.2480 0.2480 0.7443 1
Te2 Te 0.2480 0.7482 0.7446 1
Te3 Te 0.2516 0.2516 0.2553 1
Te4 Te 0.2518 0.7520 0.2554 1
Te5 Te 0.7482 0.2480 0.7446 1
Te6 Te 0.7484 0.7484 0.7447 1
Te7 Te 0.7520 0.2518 0.2554 1
Te8 Te 0.7520 0.7520 0.2557 1